A relaxed structure of K2CdGa4Au3. Source: Alexandria, functional GGA-PBE.

Geometry as POSCAR:
```
K2CdGa4Au3
1.0
-2.5149 -0.8817 3.8646
-3.4126 -1.8467 -2.6421
4.6188 -9.6772 0.7979
Ga Au K Cd
4 3 2 1
Cartesian
0.0000 0.0000 0.0000
-0.0150 -4.4668 -1.0289
1.6701 -6.5746 2.4380
-2.9637 -1.3642 0.6112
2.3094 -4.8386 0.3990
-1.1421 -2.1055 -1.2236
2.7972 -8.9358 2.6327
1.7685 -8.2035 -0.7208
-0.1134 -2.8379 2.1299
-0.6543 -6.2028 1.0102
```

Properties
- magnetic moment (Bohr magnetons per cell) = 0.0
- space group = P-4m2, No. 115
- DOS at the Fermi energy (states/eV per cell) = 4.6
- DFT formation energy (eV per atom) = -0.26